# PBE Pm5Dy2Sc4, optimized geometry
data_Pm5Dy2Sc4
_cell_length_a 3.441
_cell_length_b 8.779
_cell_length_c 22.806
_cell_angle_alpha 90.00
_cell_angle_beta 90.00
_cell_angle_gamma 90.00
_symmetry_space_group_name_H-M 'I m m m'
_symmetry_Int_Tables_number 71
_symmetry_space_group_name_Hall '-I 2 2'
loop_
_atom_site_label
_atom_site_type_symbol
_atom_site_fract_x
_atom_site_fract_y
_atom_site_fract_z
Pm1 Pm 0.000 0.000 0.000
Pm2 Pm 0.000 0.297 0.359
Dy1 Dy 0.000 0.500 0.230
Sc1 Sc 0.000 0.175 0.500
Sc2 Sc 0.000 0.500 0.093
# density = 5.93 g cm⁻³
# calculated total energy = -5.142 eV per atom
# spin magnetization = 0.0 μB/f.u.